## Mg2MnCu (GGA-PBE)

Data for crystalline Mg2MnCu at its relaxed geometry.

Computed properties:
- E above lowest polymorph (meV per atom) = 21
- space-group type = Pmmm (47)
- calculated formation energy (eV per formula unit) = 0.49
- N(E_F) (states/eV/cell) = 2.53

The structure in POSCAR format:
```
Mg2MnCu
1.0
3.1734 0.0000 0.0000
0.0000 3.2066 0.0000
0.0000 0.0000 6.4276
Mg Mn Cu
2 1 1
direct
0.0000 0.0000 0.2400
0.0000 0.0000 0.7600
0.5000 0.5000 0.5000
0.5000 0.5000 0.0000
```